No. 1
{
  "formula": "CaHoPtRh",
  "functional": "PBE",
  "state": "relaxed",
  "dft_energy_ev_per_atom": -5.8776,
  "formation_energy_mev_per_atom": -884.7,
  "e_above_lowest_polymorph_ev_per_atom": 0.000,
  "magnetic_moment_mub_per_fu": 0.0,
  "vol_a3_per_atom": 20.778,
  "lattice": [[-1.444, -3.066, 0.436], [2.342, -0.767, 2.367], [-4.221, 2.707, 5.054]],
  "species": ["Ho", "Pt", "Rh", "Ca"],
  "frac_coords": [[0.000, 0.000, 0.359], [0.500, 0.500, 0.126], [0.500, 0.500, 0.586], [0.000, 0.000, 0.856]]
}

---

No. 2
{
  "formula": "Ca2HoSi3Pt12",
  "functional": "PBE",
  "state": "relaxed",
  "dft_energy_ev_per_atom": -5.9539,
  "e_form_raw_kj_per_mol_atoms": -52.70,
  "magnetic_moment_mub_per_fu": 0.0,
  "vol_a3_per_atom": 17.628,
  "lattice": [[-3.684, 5.624, 1.351], [-5.595, -3.301, 2.196], [1.545, 0.300, 6.674]],
  "species": ["Pt", "Pt", "Ho", "Pt", "Pt", "Pt", "Pt", "Pt", "Si", "Pt", "Si", "Ca", "Pt", "Pt", "Si", "Pt", "Ca", "Pt"],
  "frac_coords": [[0.635, 0.635, 0.076], [0.635, 0.076, 0.635], [0.000, 0.000, 0.000], [0.924, 0.365, 0.365], [0.817, 0.331, 0.817], [0.183, 0.669, 0.183], [0.365, 0.365, 0.924], [0.183, 0.183, 0.669], [0.000, 0.000, 0.500], [0.076, 0.635, 0.635], [0.500, 0.000, 0.000], [0.620, 0.620, 0.620], [0.669, 0.183, 0.183], [0.817, 0.817, 0.331], [0.000, 0.500, 0.000], [0.331, 0.817, 0.817], [0.380, 0.380, 0.380], [0.365, 0.924, 0.365]]
}

---

No. 3
{
  "formula": "Ca2HoSi3Pt4",
  "functional": "PBE",
  "state": "relaxed",
  "dft_energy_ev_per_atom": -5.8778,
  "e_form_raw_kj_per_mol_atoms": -94.22,
  "magnetic_moment_mub_per_fu": 0.0,
  "vol_a3_per_atom": 19.485,
  "lattice": [[-0.302, -3.993, -1.478], [3.037, 0.837, -2.881], [7.478, -3.145, 6.969]],
  "species": ["Ca", "Pt", "Si", "Pt", "Ho", "Pt", "Si", "Ca", "Si", "Pt"],
  "frac_coords": [[0.500, 0.000, 0.230], [0.500, 0.000, 0.662], [0.000, 0.000, 0.500], [0.000, 0.000, 0.000], [0.500, 0.500, 0.500], [0.000, 0.500, 0.338], [0.000, 0.500, 0.117], [0.000, 0.500, 0.770], [0.500, 0.000, 0.883], [0.500, 0.500, 0.000]]
}

---

No. 4
{
  "formula": "CaHoSnPt",
  "functional": "PBE",
  "state": "relaxed",
  "dft_energy_ev_per_atom": -4.9379,
  "formation_energy_mev_per_atom": -782.2,
  "magnetic_moment_mub_per_fu": 0.0,
  "vol_a3_per_atom": 23.904,
  "lattice": [[-1.334, 4.359, -2.359], [0.531, 0.432, -5.087], [-4.154, 0.121, -3.013]],
  "species": ["Ho", "Sn", "Ca", "Pt"],
  "frac_coords": [[0.000, 0.000, 0.000], [0.250, 0.250, 0.250], [0.500, 0.500, 0.500], [0.750, 0.750, 0.750]]
}

---

No. 5
{
  "formula": "Ca2HoSn3Pt4",
  "functional": "PBE",
  "state": "relaxed",
  "dft_energy_ev_per_atom": -5.3245,
  "formation_energy_mev_per_atom": -849.2,
  "magnetic_moment_mub_per_fu": 0.0,
  "vol_a3_per_atom": 23.560,
  "lattice": [[4.596, 0.000, 0.000], [0.000, 4.596, 0.000], [0.000, 0.000, 11.154]],
  "species": ["Ca", "Sn", "Pt", "Pt", "Sn", "Pt", "Ho", "Pt", "Ca", "Sn"],
  "frac_coords": [[0.500, 0.000, 0.222], [0.000, 0.500, 0.124], [0.000, 0.500, 0.358], [0.500, 0.500, 0.000], [0.000, 0.000, 0.500], [0.500, 0.000, 0.642], [0.500, 0.500, 0.500], [0.000, 0.000, 0.000], [0.000, 0.500, 0.778], [0.500, 0.000, 0.876]]
}

---

No. 6
{
  "formula": "CaHoTlPt",
  "functional": "PBE",
  "state": "relaxed",
  "dft_energy_ev_per_atom": -4.3987,
  "formation_energy_mev_per_atom": -652.1,
  "magnetic_moment_mub_per_fu": 0.0,
  "vol_a3_per_atom": 23.983,
  "lattice": [[-3.659, 3.588, 0.374], [-1.627, 1.539, 4.625], [1.177, 4.702, 1.704]],
  "species": ["Pt", "Ca", "Ho", "Tl"],
  "frac_coords": [[0.250, 0.250, 0.250], [0.500, 0.500, 0.500], [0.000, 0.000, 0.000], [0.750, 0.750, 0.750]]
}

---

No. 7
{
  "formula": "CaHoZnPt",
  "functional": "PBE",
  "state": "relaxed",
  "dft_energy_ev_per_atom": -4.1626,
  "formation_energy_mev_per_atom": -689.1,
  "e_above_lowest_polymorph_ev_per_atom": 0.055,
  "magnetic_moment_mub_per_fu": 0.0,
  "vol_a3_per_atom": 21.734,
  "lattice": [[-0.134, 1.922, -4.584], [-4.274, 0.079, -2.539], [-2.326, 4.318, -0.819]],
  "species": ["Ca", "Ho", "Pt", "Zn"],
  "frac_coords": [[0.500, 0.500, 0.500], [0.000, 0.000, 0.000], [0.750, 0.750, 0.750], [0.250, 0.250, 0.250]]
}

---

No. 8
{
  "formula": "CaHoZnPt",
  "functional": "PBE",
  "state": "relaxed",
  "dft_energy_ev_per_atom": -4.2177,
  "formation_energy_mev_per_atom": -744.2,
  "e_above_lowest_polymorph_ev_per_atom": 0.000,
  "magnetic_moment_mub_per_fu": 0.0,
  "vol_a3_per_atom": 23.402,
  "lattice": [[3.951, 0.000, 0.000], [0.000, 4.184, 0.000], [-1.975, 0.000, 5.662]],
  "species": ["Zn", "Ca", "Ho", "Pt"],
  "frac_coords": [[0.570, 0.500, 0.139], [0.149, 0.000, 0.297], [0.861, 0.500, 0.722], [0.421, 0.000, 0.842]]
}

---

No. 9
{
  "formula": "CaHo2Pu",
  "functional": "PBE",
  "state": "relaxed",
  "dft_energy_ev_per_atom": -6.2327,
  "formation_energy_mev_per_atom": 139.5,
  "e_above_lowest_polymorph_ev_per_atom": 0.000,
  "magnetic_moment_mub_per_fu": 6.3,
  "vol_a3_per_atom": 32.061,
  "lattice": [[3.544, 0.000, 0.000], [0.000, 3.544, 0.000], [0.000, 0.000, 10.212]],
  "species": ["Ho", "Ho", "Pu", "Ca"],
  "frac_coords": [[0.000, 0.000, 0.775], [0.000, 0.000, 0.225], [0.500, 0.500, 0.000], [0.500, 0.500, 0.500]]
}

---

No. 10
{
  "formula": "CaHo2Pu",
  "functional": "PBE",
  "state": "relaxed",
  "dft_energy_ev_per_atom": -6.2176,
  "formation_energy_mev_per_atom": 154.7,
  "e_above_lowest_polymorph_ev_per_atom": 0.015,
  "magnetic_moment_mub_per_fu": 6.3,
  "vol_a3_per_atom": 32.103,
  "lattice": [[3.555, 0.000, 0.000], [1.778, 3.079, 0.000], [1.778, 1.026, 11.732]],
  "species": ["Pu", "Ho", "Ca", "Ho"],
  "frac_coords": [[0.666, 0.666, 0.001], [0.255, 0.255, 0.234], [0.500, 0.500, 0.499], [0.078, 0.078, 0.766]]
}

---

No. 11
{
  "formula": "CaHo2Pu",
  "functional": "PBE",
  "state": "relaxed",
  "dft_energy_ev_per_atom": -6.1243,
  "formation_energy_mev_per_atom": 247.9,
  "e_above_lowest_polymorph_ev_per_atom": 0.108,
  "magnetic_moment_mub_per_fu": 5.9,
  "vol_a3_per_atom": 32.347,
  "lattice": [[-2.542, 0.537, 2.312], [-0.453, -2.225, 2.634], [6.735, 6.097, 8.607]],
  "species": ["Ho", "Ho", "Ca", "Pu"],
  "frac_coords": [[0.908, 0.908, 0.276], [0.092, 0.092, 0.724], [0.000, 0.000, 0.000], [0.500, 0.500, 0.500]]
}

---

No. 12
{
  "formula": "Ca2HoPuS4",
  "functional": "PBE",
  "state": "relaxed",
  "dft_energy_ev_per_atom": -6.9012,
  "e_form_raw_kj_per_mol_atoms": -190.40,
  "magnetic_moment_mub_per_fu": 5.9,
  "vol_a3_per_atom": 22.284,
  "lattice": [[-2.697, 1.417, -2.539], [4.301, -1.175, -5.226], [-3.934, -5.616, 1.045]],
  "species": ["S", "S", "Ca", "S", "S", "Ca", "Ho", "Pu"],
  "frac_coords": [[0.000, 0.257, 0.756], [0.000, 0.743, 0.244], [0.500, 0.000, 0.500], [0.500, 0.747, 0.754], [0.500, 0.253, 0.246], [0.000, 0.500, 0.500], [0.500, 0.500, 0.000], [0.000, 0.000, 0.000]]
}

---

Which formula does entry 9 have?
CaHo2Pu

---

What is the formula in the tenth record?
CaHo2Pu